Material: CrCd2CuO4
Method: DFT, PBE+U
State: optimized geometry

Output
**DFT total energy**: -40.806 eV for the cell shown

Cell: 5.8122 5.8122 5.8122 Å, 75.42 128.75 128.75°
Site moments in Bohr magnetons follow the coordinates.
Element x y z (fractional)
Cr: 0.5000 0.2500 0.7500  2.93
O: 0.4677 0.8958 0.8368  -0.08
O: 0.9410 0.5719 0.1042  -0.08
O: 0.0590 0.1632 0.6309  -0.08
O: 0.5323 0.3691 0.4281  -0.08
Cd: 0.0000 0.0000 0.0000  0.03
Cd: 0.5000 0.7500 0.2500  0.04
Cu: 0.0000 0.5000 0.5000  -0.20